# PBE AcPd4Au, relaxed
# **Volume**: 20.07 A^3/atom
# **Density of states at the Fermi level**: 0.467 states/eV per atom
# **ΔE_f**: -2.675 eV/f.u.
# **Total energy**: -5.139 eV/atom
data_AcPd4Au
_cell_length_a 7.822
_cell_length_b 4.280
_cell_length_c 7.192
_cell_angle_alpha 90.00
_cell_angle_beta 90.00
_cell_angle_gamma 90.00
_space_group_name_H-M_alt 'P 1'
_space_group_IT_number 1
loop_
_space_group_symop_operation_xyz
'x,y,z'
loop_
_atom_site_label
_atom_site_type_symbol
_atom_site_fract_x
_atom_site_fract_y
_atom_site_fract_z
Ac1 Ac 0.250 0.000 0.164
Ac2 Ac 0.750 0.000 0.836
Pd1 Pd 0.000 0.000 0.500
Pd2 Pd 0.033 0.500 0.797
Pd3 Pd 0.250 0.500 0.473
Pd4 Pd 0.467 0.500 0.797
Pd5 Pd 0.500 0.000 0.500
Pd6 Pd 0.533 0.500 0.203
Pd7 Pd 0.750 0.500 0.527
Pd8 Pd 0.967 0.500 0.203
Au1 Au 0.250 0.000 0.749
Au2 Au 0.750 0.000 0.251


# PBE Ac8Pd2Au, relaxed
# **Volume**: 35.87 A^3/atom
# **Density of states at the Fermi level**: 0.999 states/eV per atom
# **ΔE_f**: -4.200 eV/f.u.
# **Total energy**: -4.612 eV/atom
data_Ac8Pd2Au
_cell_length_a 10.377
_cell_length_b 10.377
_cell_length_c 7.301
_cell_angle_alpha 106.42
_cell_angle_beta 106.42
_cell_angle_gamma 31.67
_space_group_name_H-M_alt 'P 1'
_space_group_IT_number 1
loop_
_space_group_symop_operation_xyz
'x,y,z'
loop_
_atom_site_label
_atom_site_type_symbol
_atom_site_fract_x
_atom_site_fract_y
_atom_site_fract_z
Ac1 Ac 0.032 0.032 0.290
Ac2 Ac 0.201 0.201 0.855
Ac3 Ac 0.324 0.324 0.495
Ac4 Ac 0.409 0.409 0.034
Ac5 Ac 0.591 0.591 0.966
Ac6 Ac 0.676 0.676 0.505
Ac7 Ac 0.799 0.799 0.145
Ac8 Ac 0.968 0.968 0.710
Pd1 Pd 0.174 0.174 0.254
Pd2 Pd 0.826 0.826 0.746
Au1 Au 0.500 0.500 0.500


# PBE AcPd2Au2, relaxed
# **Volume**: 22.21 A^3/atom
# **Density of states at the Fermi level**: 0.434 states/eV per atom
# **ΔE_f**: -2.888 eV/f.u.
# **Total energy**: -4.787 eV/atom
data_AcPd2Au2
_cell_length_a 12.517
_cell_length_b 12.517
_cell_length_c 12.517
_cell_angle_alpha 160.33
_cell_angle_beta 160.33
_cell_angle_gamma 27.96
_space_group_name_H-M_alt 'P 1'
_space_group_IT_number 1
loop_
_space_group_symop_operation_xyz
'x,y,z'
loop_
_atom_site_label
_atom_site_type_symbol
_atom_site_fract_x
_atom_site_fract_y
_atom_site_fract_z
Ac1 Ac 0.124 0.124 0.000
Ac2 Ac 0.876 0.876 0.000
Pd1 Pd 0.250 0.750 0.500
Pd2 Pd 0.429 0.429 0.000
Pd3 Pd 0.571 0.571 0.000
Pd4 Pd 0.750 0.250 0.500
Au1 Au 0.000 0.500 0.500
Au2 Au 0.321 0.321 0.000
Au3 Au 0.500 0.000 0.500
Au4 Au 0.679 0.679 0.000


# PBE AcPd3Au2, relaxed
# **Volume**: 19.51 A^3/atom
# **Density of states at the Fermi level**: 0.269 states/eV per atom
# **ΔE_f**: -2.808 eV/f.u.
# **Total energy**: -4.842 eV/atom
data_AcPd3Au2
_cell_length_a 8.270
_cell_length_b 8.270
_cell_length_c 8.270
_cell_angle_alpha 42.54
_cell_angle_beta 42.54
_cell_angle_gamma 42.54
_space_group_name_H-M_alt 'P 1'
_space_group_IT_number 1
loop_
_space_group_symop_operation_xyz
'x,y,z'
loop_
_atom_site_label
_atom_site_type_symbol
_atom_site_fract_x
_atom_site_fract_y
_atom_site_fract_z
Ac1 Ac 0.214 0.214 0.214
Ac2 Ac 0.786 0.786 0.786
Pd1 Pd 0.242 0.720 0.720
Pd2 Pd 0.280 0.280 0.758
Pd3 Pd 0.280 0.758 0.280
Pd4 Pd 0.720 0.242 0.720
Pd5 Pd 0.720 0.720 0.242
Pd6 Pd 0.758 0.280 0.280
Au1 Au 0.000 0.000 0.000
Au2 Au 0.000 0.500 0.500
Au3 Au 0.500 0.000 0.500
Au4 Au 0.500 0.500 0.000


# PBE Ac3Pd7Au2, relaxed
# **Volume**: 21.01 A^3/atom
# **Density of states at the Fermi level**: 0.430 states/eV per atom
# **ΔE_f**: -8.852 eV/f.u.
# **Total energy**: -5.340 eV/atom
data_Ac3Pd7Au2
_cell_length_a 9.711
_cell_length_b 9.711
_cell_length_c 9.711
_cell_angle_alpha 33.77
_cell_angle_beta 33.77
_cell_angle_gamma 33.77
_space_group_name_H-M_alt 'P 1'
_space_group_IT_number 1
loop_
_space_group_symop_operation_xyz
'x,y,z'
loop_
_atom_site_label
_atom_site_type_symbol
_atom_site_fract_x
_atom_site_fract_y
_atom_site_fract_z
Ac1 Ac 0.000 0.000 0.000
Ac2 Ac 0.138 0.138 0.138
Ac3 Ac 0.862 0.862 0.862
Pd1 Pd 0.082 0.586 0.586
Pd2 Pd 0.414 0.414 0.918
Pd3 Pd 0.414 0.918 0.414
Pd4 Pd 0.500 0.500 0.500
Pd5 Pd 0.586 0.082 0.586
Pd6 Pd 0.586 0.586 0.082
Pd7 Pd 0.918 0.414 0.414
Au1 Au 0.333 0.333 0.333
Au2 Au 0.667 0.667 0.667


# PBE AcPd4Au2, relaxed
# **Volume**: 26.09 A^3/atom
# **Density of states at the Fermi level**: 0.984 states/eV per atom
# **ΔE_f**: 0.242 eV/f.u.
# **Total energy**: -4.456 eV/atom
data_AcPd4Au2
_cell_length_a 6.407
_cell_length_b 6.407
_cell_length_c 6.407
_cell_angle_alpha 100.29
_cell_angle_beta 100.29
_cell_angle_gamma 130.00
_space_group_name_H-M_alt 'P 1'
_space_group_IT_number 1
loop_
_space_group_symop_operation_xyz
'x,y,z'
loop_
_atom_site_label
_atom_site_type_symbol
_atom_site_fract_x
_atom_site_fract_y
_atom_site_fract_z
Ac1 Ac 0.000 0.000 0.000
Pd1 Pd 0.280 0.500 0.780
Pd2 Pd 0.500 0.280 0.780
Pd3 Pd 0.500 0.720 0.220
Pd4 Pd 0.720 0.500 0.220
Au1 Au 0.250 0.750 0.500
Au2 Au 0.750 0.250 0.500


# PBE Ac4Pd12Au, relaxed
# **Volume**: 20.49 A^3/atom
# **Density of states at the Fermi level**: 0.100 states/eV per atom
# **ΔE_f**: -12.992 eV/f.u.
# **Total energy**: -5.589 eV/atom
data_Ac4Pd12Au
_cell_length_a 7.677
_cell_length_b 7.677
_cell_length_c 7.677
_cell_angle_alpha 109.47
_cell_angle_beta 109.47
_cell_angle_gamma 109.47
_space_group_name_H-M_alt 'P 1'
_space_group_IT_number 1
loop_
_space_group_symop_operation_xyz
'x,y,z'
loop_
_atom_site_label
_atom_site_type_symbol
_atom_site_fract_x
_atom_site_fract_y
_atom_site_fract_z
Ac1 Ac 0.000 0.000 0.500
Ac2 Ac 0.000 0.500 0.000
Ac3 Ac 0.500 0.000 0.000
Ac4 Ac 0.500 0.500 0.500
Pd1 Pd 0.000 0.307 0.307
Pd2 Pd 0.000 0.693 0.693
Pd3 Pd 0.250 0.500 0.750
Pd4 Pd 0.250 0.750 0.500
Pd5 Pd 0.307 0.000 0.307
Pd6 Pd 0.307 0.307 0.000
Pd7 Pd 0.500 0.250 0.750
Pd8 Pd 0.500 0.750 0.250
Pd9 Pd 0.693 0.000 0.693
Pd10 Pd 0.693 0.693 0.000
Pd11 Pd 0.750 0.250 0.500
Pd12 Pd 0.750 0.500 0.250
Au1 Au 0.000 0.000 0.000


# PBE AcPd6Au6, relaxed
# **Volume**: 18.74 A^3/atom
# **Density of states at the Fermi level**: 0.314 states/eV per atom
# **ΔE_f**: -3.797 eV/f.u.
# **Total energy**: -4.517 eV/atom
data_AcPd6Au6
_cell_length_a 7.189
_cell_length_b 7.189
_cell_length_c 7.189
_cell_angle_alpha 134.74
_cell_angle_beta 98.80
_cell_angle_gamma 98.23
_space_group_name_H-M_alt 'P 1'
_space_group_IT_number 1
loop_
_space_group_symop_operation_xyz
'x,y,z'
loop_
_atom_site_label
_atom_site_type_symbol
_atom_site_fract_x
_atom_site_fract_y
_atom_site_fract_z
Ac1 Ac 0.000 0.000 0.000
Pd1 Pd 0.220 0.720 0.500
Pd2 Pd 0.349 0.349 0.000
Pd3 Pd 0.352 0.000 0.352
Pd4 Pd 0.648 0.000 0.648
Pd5 Pd 0.651 0.651 0.000
Pd6 Pd 0.780 0.280 0.500
Au1 Au 0.000 0.000 0.500
Au2 Au 0.000 0.500 0.000
Au3 Au 0.223 0.500 0.723
Au4 Au 0.500 0.000 0.000
Au5 Au 0.500 0.500 0.500
Au6 Au 0.777 0.500 0.277


# PBE Ac8Pd2Au, relaxed
# **Volume**: 38.39 A^3/atom
# **Density of states at the Fermi level**: 1.262 states/eV per atom
# **ΔE_f**: -3.694 eV/f.u.
# **Total energy**: -4.566 eV/atom
data_Ac8Pd2Au
_cell_length_a 12.690
_cell_length_b 12.690
_cell_length_c 8.396
_cell_angle_alpha 103.51
_cell_angle_beta 103.51
_cell_angle_gamma 18.76
_space_group_name_H-M_alt 'P 1'
_space_group_IT_number 1
loop_
_space_group_symop_operation_xyz
'x,y,z'
loop_
_atom_site_label
_atom_site_type_symbol
_atom_site_fract_x
_atom_site_fract_y
_atom_site_fract_z
Ac1 Ac 0.051 0.051 0.290
Ac2 Ac 0.204 0.204 0.112
Ac3 Ac 0.315 0.315 0.518
Ac4 Ac 0.411 0.411 0.233
Ac5 Ac 0.589 0.589 0.767
Ac6 Ac 0.685 0.685 0.482
Ac7 Ac 0.796 0.796 0.888
Ac8 Ac 0.949 0.949 0.710
Pd1 Pd 0.189 0.189 0.753
Pd2 Pd 0.811 0.811 0.247
Au1 Au 0.500 0.500 0.000


# PBE AcPd2Au2, relaxed
# **Volume**: 21.56 A^3/atom
# **Density of states at the Fermi level**: 0.387 states/eV per atom
# **ΔE_f**: -2.963 eV/f.u.
# **Total energy**: -4.802 eV/atom
data_AcPd2Au2
_cell_length_a 4.898
_cell_length_b 5.103
_cell_length_c 5.285
_cell_angle_alpha 108.79
_cell_angle_beta 90.10
_cell_angle_gamma 118.67
_space_group_name_H-M_alt 'P 1'
_space_group_IT_number 1
loop_
_space_group_symop_operation_xyz
'x,y,z'
loop_
_atom_site_label
_atom_site_type_symbol
_atom_site_fract_x
_atom_site_fract_y
_atom_site_fract_z
Ac1 Ac 0.000 0.000 0.000
Pd1 Pd 0.384 0.766 0.243
Pd2 Pd 0.616 0.234 0.757
Au1 Au 0.262 0.526 0.664
Au2 Au 0.738 0.474 0.336


# PBE Ac3Pd3Au2, relaxed
# **Volume**: 28.29 A^3/atom
# **Density of states at the Fermi level**: 0.439 states/eV per atom
# **ΔE_f**: -5.586 eV/f.u.
# **Total energy**: -5.006 eV/atom
data_Ac3Pd3Au2
_cell_length_a 5.702
_cell_length_b 5.702
_cell_length_c 19.312
_cell_angle_alpha 90.00
_cell_angle_beta 90.00
_cell_angle_gamma 133.87
_space_group_name_H-M_alt 'P 1'
_space_group_IT_number 1
loop_
_space_group_symop_operation_xyz
'x,y,z'
loop_
_atom_site_label
_atom_site_type_symbol
_atom_site_fract_x
_atom_site_fract_y
_atom_site_fract_z
Ac1 Ac 0.137 0.863 0.571
Ac2 Ac 0.137 0.863 0.929
Ac3 Ac 0.156 0.844 0.250
Ac4 Ac 0.844 0.156 0.750
Ac5 Ac 0.863 0.137 0.071
Ac6 Ac 0.863 0.137 0.429
Pd1 Pd 0.145 0.855 0.750
Pd2 Pd 0.415 0.585 0.553
Pd3 Pd 0.415 0.585 0.947
Pd4 Pd 0.585 0.415 0.053
Pd5 Pd 0.585 0.415 0.447
Pd6 Pd 0.855 0.145 0.250
Au1 Au 0.459 0.541 0.177
Au2 Au 0.459 0.541 0.323
Au3 Au 0.541 0.459 0.677
Au4 Au 0.541 0.459 0.823


# PBE Ac3PdAu, relaxed
# **Volume**: 35.37 A^3/atom
# **Density of states at the Fermi level**: 0.902 states/eV per atom
# **ΔE_f**: -3.069 eV/f.u.
# **Total energy**: -4.773 eV/atom
data_Ac3PdAu
_cell_length_a 9.182
_cell_length_b 4.299
_cell_length_c 9.224
_cell_angle_alpha 90.00
_cell_angle_beta 103.72
_cell_angle_gamma 90.00
_space_group_name_H-M_alt 'P 1'
_space_group_IT_number 1
loop_
_space_group_symop_operation_xyz
'x,y,z'
loop_
_atom_site_label
_atom_site_type_symbol
_atom_site_fract_x
_atom_site_fract_y
_atom_site_fract_z
Ac1 Ac 0.009 0.250 0.191
Ac2 Ac 0.304 0.750 0.568
Ac3 Ac 0.369 0.750 0.118
Ac4 Ac 0.631 0.250 0.882
Ac5 Ac 0.696 0.250 0.432
Ac6 Ac 0.991 0.750 0.809
Pd1 Pd 0.346 0.250 0.346
Pd2 Pd 0.654 0.750 0.654
Au1 Au 0.263 0.250 0.832
Au2 Au 0.737 0.750 0.168